(P)
Below is a relaxed Mg2SbW2 crystal, with properties calculated at the PBE level.

Volume (A^3/atom): 17.67
Total moment (μB per cell): 0.00

Cell lengths 7.0013, 7.0013, 3.6056 Å; angles 90.00, 90.00, 90.00 degrees
Fractional coordinates of all 10 atoms:
W1 0.8258 0.3258 0.5000
W2 0.1742 0.6742 0.5000
W3 0.3258 0.1742 0.5000
W4 0.6742 0.8258 0.5000
Mg1 0.8743 0.6257 0.0000
Mg2 0.3743 0.8743 0.0000
Mg3 0.6257 0.1257 0.0000
Mg4 0.1257 0.3743 0.0000
Sb1 0.0000 0.0000 0.0000
Sb2 0.5000 0.5000 0.0000

(Q)
Below is a relaxed Mg2SbW2 crystal, with properties calculated at the PBE level.

Volume (A^3/atom): 19.78
Total moment (μB per cell): 0.00

Cell lengths 7.6874, 7.6874, 7.6874 Å; angles 152.16, 152.16, 39.78 degrees
Fractional coordinates of all 5 atoms:
Sb1 0.0000 0.0000 0.0000
Mg1 0.2500 0.7500 0.5000
Mg2 0.7500 0.2500 0.5000
W1 0.4128 0.4128 0.0000
W2 0.5872 0.5872 0.0000

(R)
Below is a relaxed Mg2SbW2 crystal, with properties calculated at the PBE level.

Volume (A^3/atom): 22.92
Total moment (μB per cell): 0.00

Cell lengths 3.5686, 3.5686, 9.3464 Å; angles 78.99, 78.99, 90.00 degrees
Fractional coordinates of all 5 atoms:
Mg1 0.3864 0.3864 0.2273
Mg2 0.6136 0.6136 0.7727
W1 0.7500 0.2500 0.5000
W2 0.2500 0.7500 0.5000
Sb1 0.0000 0.0000 0.0000

Stability comparison, relative energies in kJ/mol of atoms: (P) 40.8; (Q) 30.9; (R) 0.0

(P)
Below is a relaxed YMgSb crystal, with properties calculated at the PBE level.

Volume (A^3/atom): 25.97
Total moment (μB per cell): 0.00

Cell lengths 6.1063, 6.1063, 6.1063 Å; angles 146.79, 141.07, 52.08 degrees
Fractional coordinates of all 3 atoms:
Y1 0.3278 0.3278 0.0000
Sb1 0.6554 0.6554 0.0000
Mg1 0.0167 0.0167 0.0000

(Q)
Below is a relaxed YMgSb crystal, with properties calculated at the PBE level.

Volume (A^3/atom): 29.05
Total moment (μB per cell): 0.00

Cell lengths 4.9765, 4.9765, 4.9765 Å; angles 60.00, 60.00, 60.00 degrees
Fractional coordinates of all 3 atoms:
Sb1 0.2500 0.2500 0.2500
Y1 0.0000 0.0000 0.0000
Mg1 0.5000 0.5000 0.5000

Stability comparison, relative energies in kJ/mol of atoms: (P) 0.0; (Q) 10.7

(P)
Below is a relaxed YMgSb crystal, with properties calculated at the PBE level.

Volume (A^3/atom): 25.60
Total moment (μB per cell): 0.00

Cell lengths 4.7094, 4.7094, 3.9991 Å; angles 90.00, 90.00, 120.00 degrees
Fractional coordinates of all 3 atoms:
Mg1 0.0000 0.0000 0.1644
Sb1 0.6667 0.3333 0.1686
Y1 0.3333 0.6667 0.6670

(Q)
Below is a relaxed YMgSb crystal, with properties calculated at the PBE level.

Volume (A^3/atom): 26.56
Total moment (μB per cell): 0.00

Cell lengths 6.2477, 6.0558, 3.8221 Å; angles 74.66, 69.19, 36.15 degrees
Fractional coordinates of all 3 atoms:
Mg1 0.9827 0.9827 0.0173
Y1 0.6743 0.6743 0.3257
Sb1 0.3429 0.3429 0.6571

Stability comparison, relative energies in kJ/mol of atoms: (P) 0.0; (Q) 11.7

(P)
Below is a relaxed Y2Mg2Sb crystal, with properties calculated at the PBE level.

Volume (A^3/atom): 30.69
Total moment (μB per cell): 0.01

Cell lengths 7.9155, 7.9155, 4.8977 Å; angles 90.00, 90.00, 90.00 degrees
Fractional coordinates of all 10 atoms:
Mg1 0.6398 0.8602 0.5000
Mg2 0.8602 0.3602 0.5000
Mg3 0.3602 0.1398 0.5000
Mg4 0.1398 0.6398 0.5000
Y1 0.6585 0.1585 0.0000
Y2 0.8415 0.6585 0.0000
Y3 0.1585 0.3415 0.0000
Y4 0.3415 0.8415 0.0000
Sb1 0.0000 0.0000 0.0000
Sb2 0.5000 0.5000 0.0000

(Q)
Below is a relaxed Y2Mg2Sb crystal, with properties calculated at the PBE level.

Volume (A^3/atom): 26.79
Total moment (μB per cell): 0.00

Cell lengths 7.4657, 7.4657, 4.8058 Å; angles 90.00, 90.00, 90.00 degrees
Fractional coordinates of all 10 atoms:
Mg1 0.8674 0.6326 0.0000
Mg2 0.1326 0.3674 0.0000
Mg3 0.3674 0.8674 0.0000
Mg4 0.6326 0.1326 0.0000
Sb1 0.0000 0.0000 0.0000
Sb2 0.5000 0.5000 0.0000
Y1 0.3354 0.1646 0.5000
Y2 0.6646 0.8354 0.5000
Y3 0.8354 0.3354 0.5000
Y4 0.1646 0.6646 0.5000

Stability comparison, relative energies in kJ/mol of atoms: (P) 10.9; (Q) 0.0

(P)
Below is a relaxed MgZnSb2 crystal, with properties calculated at the PBE level.

Volume (A^3/atom): 24.00
Total moment (μB per cell): 0.00

Cell lengths 5.7810, 3.2980, 5.0348 Å; angles 90.03, 90.00, 90.00 degrees
Fractional coordinates of all 4 atoms:
Sb1 0.0000 0.8754 0.8803
Sb2 0.5000 0.3728 0.3694
Zn1 0.0000 0.3800 0.3814
Mg1 0.5000 0.8718 0.8688

(Q)
Below is a relaxed MgZnSb2 crystal, with properties calculated at the PBE level.

Volume (A^3/atom): 23.75
Total moment (μB per cell): 0.00

Cell lengths 6.5947, 5.2577, 3.6566 Å; angles 81.46, 71.48, 121.11 degrees
Fractional coordinates of all 4 atoms:
Sb1 0.5000 0.0000 0.5000
Sb2 0.0000 0.0000 0.0000
Mg1 0.5000 0.5000 0.0000
Zn1 0.0000 0.5000 0.5000

(R)
Below is a relaxed MgZnSb2 crystal, with properties calculated at the PBE level.

Volume (A^3/atom): 24.14
Total moment (μB per cell): 0.00

Cell lengths 3.1623, 3.1623, 9.7386 Å; angles 90.00, 90.00, 97.49 degrees
Fractional coordinates of all 4 atoms:
Sb1 0.5000 0.5000 0.3058
Sb2 0.0000 0.0000 0.9535
Zn1 0.0000 0.0000 0.5192
Mg1 0.5000 0.5000 0.7216

(S)
Below is a relaxed MgZnSb2 crystal, with properties calculated at the PBE level.

Volume (A^3/atom): 23.61
Total moment (μB per cell): 0.00

Cell lengths 5.4682, 5.4682, 5.4682 Å; angles 135.18, 122.76, 75.50 degrees
Fractional coordinates of all 4 atoms:
Mg1 0.2500 0.7500 0.5000
Zn1 0.7500 0.2500 0.5000
Sb1 0.5178 0.5178 0.0000
Sb2 0.9822 0.9822 0.0000

Stability comparison, relative energies in kJ/mol of atoms: (P) 0.0; (Q) 5.1; (R) 8.3; (S) 4.6

(P)
Below is a relaxed Mg2ZnSb2 crystal, with properties calculated at the PBE level.

Volume (A^3/atom): 25.31
Total moment (μB per cell): 0.00

Cell lengths 4.4750, 4.4750, 7.2968 Å; angles 90.00, 90.00, 120.00 degrees
Fractional coordinates of all 5 atoms:
Mg1 0.3333 0.6667 0.0086
Mg2 0.0000 0.0000 0.3777
Zn1 0.6667 0.3333 0.6221
Sb1 0.0000 0.0000 0.7677
Sb2 0.6667 0.3333 0.2239

(Q)
Below is a relaxed Mg2ZnSb2 crystal, with properties calculated at the PBE level.

Volume (A^3/atom): 24.49
Total moment (μB per cell): 0.00

Cell lengths 8.5776, 8.5776, 3.3286 Å; angles 90.00, 90.00, 90.00 degrees
Fractional coordinates of all 10 atoms:
Sb1 0.8375 0.6625 0.0000
Sb2 0.1625 0.3375 0.0000
Sb3 0.6625 0.1625 0.0000
Sb4 0.3375 0.8375 0.0000
Mg1 0.6368 0.8632 0.5000
Mg2 0.1368 0.6368 0.5000
Mg3 0.3632 0.1368 0.5000
Mg4 0.8632 0.3632 0.5000
Zn1 0.5000 0.5000 0.0000
Zn2 0.0000 0.0000 0.0000

(R)
Below is a relaxed Mg2ZnSb2 crystal, with properties calculated at the PBE level.

Volume (A^3/atom): 27.56
Total moment (μB per cell): 0.00

Cell lengths 4.4469, 4.4469, 7.6441 Å; angles 73.09, 73.09, 90.00 degrees
Fractional coordinates of all 5 atoms:
Mg1 0.3974 0.3974 0.2051
Mg2 0.6026 0.6026 0.7949
Sb1 0.7500 0.2500 0.5000
Sb2 0.2500 0.7500 0.5000
Zn1 0.0000 0.0000 0.0000

Stability comparison, relative energies in kJ/mol of atoms: (P) 0.0; (Q) 19.2; (R) 33.9